1.
Entry from Alexandria: a geometry-optimized NaAl2SbS6 structure (PBE).

Cell lengths 8.8182, 8.8182, 6.9307 Å; angles 104.86, 104.86, 98.65 degrees
Last column: nearest neighbours and their distance in Å.
Positions (direct):
Na: 0.1023 0.8977 0.7500  6 S 2.81-3.02
Na: 0.8977 0.1023 0.2500  6 S 2.81-3.02
Al: 0.3120 0.4681 0.8502  4 S 2.30-2.41
Al: 0.4681 0.3120 0.3502  4 S 2.30-2.41
Al: 0.5319 0.6880 0.6498  4 S 2.30-2.41
Al: 0.6880 0.5319 0.1498  4 S 2.30-2.41
Sb: 0.1817 0.8183 0.2500  4 S 2.38-2.41
Sb: 0.8183 0.1817 0.7500  4 S 2.38-2.41
S: 0.0695 0.2177 0.6806  1 Sb 2.38, 1 Al 2.61
S: 0.1268 0.6155 0.9179  1 Al 2.30, 1 Sb 2.41
S: 0.2177 0.0695 0.1806  1 Sb 2.38, 1 Al 2.61
S: 0.3112 0.4538 0.5089  3 Al 2.30-2.41
S: 0.3845 0.8732 0.5821  1 Al 2.30, 1 Sb 2.41
S: 0.4538 0.3112 0.0089  3 Al 2.30-2.41
S: 0.5462 0.6888 0.9911  3 Al 2.30-2.41
S: 0.6155 0.1268 0.4179  1 Al 2.30, 1 Sb 2.41
S: 0.6888 0.5462 0.4911  3 Al 2.30-2.41
S: 0.7823 0.9305 0.8194  1 Sb 2.38, 1 Al 2.61
S: 0.8732 0.3845 0.0821  1 Al 2.30, 1 Sb 2.41
S: 0.9305 0.7823 0.3194  1 Sb 2.38, 1 Al 2.61

Values from the calculation:
Formation energy from raw total energies (meV per atom): -667

---

2.
Entry from Alexandria: a geometry-optimized Mn3Ag structure (PBE).

Cell lengths 3.9657, 3.9657, 3.9657 Å; angles 90.00, 90.00, 90.00 degrees
Last column: nearest neighbours and their distance in Å.
Positions (direct):
Mn: 0.0000 0.0000 0.5000  8 Mn 2.80, 4 Ag 2.80
Mn: 0.0000 0.5000 0.0000  8 Mn 2.80, 4 Ag 2.80
Mn: 0.5000 0.0000 0.0000  8 Mn 2.80, 4 Ag 2.80
Ag: 0.5000 0.5000 0.5000  12 Mn 2.80

Values from the calculation:
Fermi-level density of states (states/eV/atom): 1.028
VASP energy (eV for the cell shown): -28.40

---

> What is the formula in the second record?

Mn3Ag